Entry 1:
! SiTcW2 PBE relaxed; values from VASP
&SYSTEM
  ibrav = 0, nat = 4, ntyp = 3
/
ATOMIC_SPECIES
Tc 98.00 Tc.upf
Si 28.09 Si.upf
W 183.84 W.upf
CELL_PARAMETERS angstrom
-2.2352 1.8437 2.8869
0.0743 -2.3612 1.5654
4.3810 -0.4685 3.6911
ATOMIC_POSITIONS angstrom
Tc 2.2239 -1.2004 5.3859
Si -0.0038 0.2144 2.7576
W 0.0272 -0.0540 0.0556
W 2.2004 -1.3609 2.5727
! Space group: P2/m (10)
! E_form (uncorrected): 0.005 eV/atom
! Volume: 14.94 Å³/atom

***

Entry 2:
! Ba2GaPdO6 PBE relaxed; values from VASP
&SYSTEM
  ibrav = 0, nat = 20, ntyp = 4
/
ATOMIC_SPECIES
Ba 137.33 Ba.upf
O 16.00 O.upf
Pd 106.42 Pd.upf
Ga 69.72 Ga.upf
CELL_PARAMETERS angstrom
5.8196 0.0000 0.0000
2.9098 5.0399 0.0000
2.9098 1.6800 9.6602
ATOMIC_POSITIONS angstrom
Ba 8.7294 5.0399 8.3344
Ba 8.7294 5.0399 3.6836
Ba 2.9098 1.6800 1.3259
Ba 2.9098 1.6800 5.9766
O 5.8196 1.6548 1.1780
O 5.8196 4.9008 3.5343
O 5.8196 5.0651 8.4822
O 4.4852 2.5895 3.5343
O 7.2963 2.5074 8.4822
O 5.8196 1.8191 6.1259
O 4.3429 2.5074 8.4822
O 7.1540 4.1304 6.1259
O 4.4852 4.1304 6.1259
O 7.2963 4.2125 1.1780
O 7.1540 2.5895 3.5343
O 4.3429 4.2125 1.1780
Pd 0.0000 0.0000 0.0000
Pd 5.8196 3.3599 4.8301
Ga 5.8196 3.3599 7.4881
Ga 5.8196 3.3599 2.1721
! Space group: R-3m (166)
! E_form (uncorrected): -1.665 eV/atom
! Volume: 14.17 Å³/atom

***

Entry 3:
! Th4IrPdS2 PBE relaxed; values from VASP
&SYSTEM
  ibrav = 0, nat = 8, ntyp = 4
/
ATOMIC_SPECIES
Th 232.04 Th.upf
S 32.06 S.upf
Pd 106.42 Pd.upf
Ir 192.22 Ir.upf
CELL_PARAMETERS angstrom
4.0954 0.0000 0.0000
0.0000 7.4293 -0.2798
0.0000 2.4881 6.6130
ATOMIC_POSITIONS angstrom
Th 0.0001 7.3808 4.8177
Th 2.0477 3.7675 4.9386
Th 2.0477 6.1498 1.3946
Th 4.0954 2.5366 1.5155
S 2.0477 1.2441 3.3065
S 0.0000 2.4881 6.6130
Pd 0.0000 4.9587 3.1666
Ir 2.0477 3.7146 -0.1399
! Space group: P2/m (10)
! E_form (uncorrected): -1.267 eV/atom
! Volume: 25.51 Å³/atom

***

Entry 4:
! Ce3DyIr PBE relaxed; values from VASP
&SYSTEM
  ibrav = 0, nat = 10, ntyp = 3
/
ATOMIC_SPECIES
Dy 162.50 Dy.upf
Ir 192.22 Ir.upf
Ce 140.12 Ce.upf
CELL_PARAMETERS angstrom
6.1715 -0.0022 0.0014
0.0006 6.4466 0.0003
0.0016 0.0042 7.1925
ATOMIC_POSITIONS angstrom
Dy 2.6915 2.5555 5.0354
Dy 5.7782 6.1661 1.4481
Ir 4.0210 4.0076 1.4488
Ir 0.9357 4.7161 5.0407
Ce 5.7330 0.6475 5.0444
Ce 5.7449 2.8677 6.7705
Ce 5.7477 2.8641 3.3131
Ce 2.6481 1.6270 1.4406
Ce 2.6605 5.8581 3.1742
Ce 2.6620 5.8573 6.9090
! Space group: P2_1 (4)
! Formation energy from the elements: -0.19 eV per atom
! Volume: 28.62 Å³/atom

***

Entry 5:
! PrSn12Pd4 PBE relaxed; values from VASP
&SYSTEM
  ibrav = 0, nat = 17, ntyp = 3
/
ATOMIC_SPECIES
Pd 106.42 Pd.upf
Sn 118.71 Sn.upf
Pr 140.91 Pr.upf
CELL_PARAMETERS angstrom
-2.4944 2.9553 -7.2670
-4.0184 -6.9940 1.6434
-1.5796 5.5228 5.8965
ATOMIC_POSITIONS angstrom
Pd -0.7898 2.7614 2.9483
Pd -1.2472 1.4776 -3.6335
Pd -4.0462 0.7420 0.1365
Pd -2.0092 -3.4970 0.8217
Sn -3.7138 4.9206 -1.7973
Sn -4.3786 -3.4366 2.0702
Sn -3.7675 1.0966 -4.4577
Sn -4.9613 3.1065 1.0015
Sn -2.5736 0.8477 2.3718
Sn -5.5188 0.6363 -2.0989
Sn -2.4393 2.2682 -1.3685
Sn -5.6532 -0.7842 1.6414
Sn -5.1687 -2.8860 -2.4880
Sn -2.9237 4.3700 2.7609
Sn -3.1312 -1.6225 -0.7286
Sn -4.3250 0.3874 4.7307
Pr 0.0000 0.0000 0.0000
! Space group: Im-3 (204)
! Formation energy from the elements: -0.35 eV per atom
! Volume: 25.26 Å³/atom

***

Entry 6:
! AlGaSbTe2 PBE relaxed; values from VASP
&SYSTEM
  ibrav = 0, nat = 5, ntyp = 4
/
ATOMIC_SPECIES
Sb 121.76 Sb.upf
Te 127.60 Te.upf
Ga 69.72 Ga.upf
Al 26.98 Al.upf
CELL_PARAMETERS angstrom
5.4464 0.0000 0.0000
0.0000 5.4464 0.0000
0.0000 0.0000 5.2357
ATOMIC_POSITIONS angstrom
Sb 0.0000 0.0000 2.6178
Te 2.7232 0.0000 0.0000
Te 0.0000 2.7232 0.0000
Ga 2.7232 2.7232 2.6178
Al 0.0000 0.0000 0.0000
! Space group: P4/mmm (123)
! E_form (uncorrected): 0.265 eV/atom
! Volume: 31.06 Å³/atom